Below is a geometry-optimized PmHoPb structure, with properties calculated at the PBE level.

Values from the calculation:
Energy relative to the elements = -0.20 eV/atom
ΔE to the lowest computed polymorph = 250.2 meV per atom
Volume = 94.38 Å³/f.u.
SG = P2_1/m, No. 11

abc: 3.637 5.299 9.954
angles: 90.00 100.31 90.00
Fractional coordinates of all 6 atoms:
Pm (0.101, 0.250, 0.208)
Pm (0.899, 0.750, 0.792)
Ho (0.286, 0.250, 0.573)
Ho (0.714, 0.750, 0.427)
Pb (0.458, 0.250, 0.902)
Pb (0.542, 0.750, 0.098)

***

Below is a geometry-optimized Ce2CdGe3Pt6 structure, with properties calculated at the PBE level.

Values from the calculation:
Energy relative to the elements = -0.56 eV/atom
Volume = 270.12 Å³/f.u.
SG = P4/mmm, No. 123

abc: 4.078 4.078 16.243
angles: 90.00 90.00 90.00
Fractional coordinates of all 12 atoms:
Ce (0.000, 0.000, 0.208)
Ce (0.000, 0.000, 0.792)
Cd (0.000, 0.000, 0.500)
Ge (0.500, 0.500, 0.000)
Ge (0.500, 0.500, 0.296)
Ge (0.500, 0.500, 0.704)
Pt (0.000, 0.500, 0.379)
Pt (0.000, 0.500, 0.621)
Pt (0.500, 0.000, 0.379)
Pt (0.500, 0.000, 0.621)
Pt (0.500, 0.500, 0.145)
Pt (0.500, 0.500, 0.855)

***

Which of these has the lowest volume? PmHoPb